Compound: KTiCu2Te4
Source: Alexandria via LeMat-Bulk
Functional: PBE
Structure: relaxed

The structure in CIF format:
```
data_KTiCu2Te4
_chemical_formula_sum 'K2 Ti2 Cu4 Te8'
_cell_length_a 6.4496
_cell_length_b 8.9739
_cell_length_c 9.3251
_cell_angle_alpha 90.00
_cell_angle_beta 90.00
_cell_angle_gamma 90.00
_space_group_name_H-M_alt 'I 2 2 2'
_space_group_IT_number 23
_space_group_name_Hall 'I 2 2'
loop_
_atom_site_label
_atom_site_type_symbol
_atom_site_fract_x
_atom_site_fract_y
_atom_site_fract_z
K1 K 0.0000 0.0000 0.0000
Ti1 Ti 0.0000 0.0000 0.5000
Cu1 Cu 0.0000 0.5000 0.1293
Te1 Te 0.2184 0.1861 0.3426
```

Output
formation energy from raw total energies	-0.328	eV/atom
total magnetic moment	0.0	μB per formula unit